# 1
MnIr2RhN: relaxed, GGA-PBE.

Lattice parameters (Å, degrees): 4.0453 4.1624 4.0453 90.00 90.00 90.00
Last column: nearest neighbours and their distance in Å.
Fractional positions:
Rh 0.0000 0.5000 0.0000  2 N 2.08
Ir 0.5000 0.0000 0.0000  2 N 2.02
Ir 0.0000 0.0000 0.5000  2 N 2.02
N 0.0000 0.0000 0.0000  4 Ir 2.02, 2 Rh 2.08
Mn 0.5000 0.5000 0.5000  4 Rh 2.86, 8 Ir 2.90

Values from the calculation:
DOS at the Fermi energy: 5.1 states/eV/f.u.
symmetry: P4/mmm (123)
VASP energy: -40.83 eV per cell

***

# 2
MgMnTe2: relaxed, GGA-PBE.

Lattice parameters (Å, degrees): 8.5503 8.5503 8.5503 30.24 30.24 30.24
Last column: nearest neighbours and their distance in Å.
Fractional positions:
Mn 0.0000 0.0000 0.0000  2 Te 2.55
Mg 0.5000 0.5000 0.5000  6 Te 2.99
Te 0.8955 0.8955 0.8955  1 Mn 2.55
Te 0.1045 0.1045 0.1045  1 Mn 2.55

Values from the calculation:
DOS at the Fermi energy: 0.8 states/eV/f.u.
symmetry: R-3m (166)
VASP energy: -17.38 eV per cell

***

# 3
RbSiB2Te: relaxed, GGA-PBE.

Lattice parameters (Å, degrees): 4.9168 6.4143 4.9168 90.00 90.00 90.00
Last column: nearest neighbours and their distance in Å.
Fractional positions:
Si 0.5000 0.5000 0.5000  4 Te 3.48
B 0.0000 0.0000 0.5000  2 Rb 2.46
B 0.5000 0.0000 0.0000  2 Rb 2.46
Te 0.0000 0.5000 0.0000  2 Rb 3.21, 4 Si 3.48
Rb 0.0000 0.0000 0.0000  4 B 2.46

Values from the calculation:
DOS at the Fermi energy: 3.7 states/eV/f.u.
symmetry: P4/mmm (123)
VASP energy: -9.21 eV per cell

***

- What is the VASP energy in the first record?
  -40.83 eV per cell

***

- Number 3 is which compound?
  RbSiB2Te